No. 1
5
Lattice="-1.7790 -0.3543 4.4023 3.3278 -3.2279 1.0851 2.9839 3.5785 1.4938" Properties=species:S:1:pos:R:3 comment="TcP2AuS, optimized geometry, DFT PBE" de_polymorph_mev_per_atom=846 volume_a3_per_fu=111 pbc="T T T"
S 1.4919 1.7892 0.7469
P 1.6639 -1.6139 0.5425
P -0.8895 -0.1771 2.2012
Tc 2.2663 -0.0018 3.4906
Au 0.0000 0.0000 0.0000


No. 2
6
Lattice="-1.1222 3.4910 -2.5575 -0.9817 -2.7786 -3.3620 -7.0562 -0.8993 5.7762" Properties=species:S:1:pos:R:3 comment="PaBiAs, optimized geometry, DFT PBE" de_polymorph_mev_per_atom=307 volume_a3_per_fu=86 formation_enthalpy_0k_mev_per_atom=-235 pbc="T T T"
Pa -6.4681 -0.0066 -1.0784
Pa -1.8529 -1.4805 -1.2079
As -9.0479 -0.1794 -0.1823
As -4.4328 -1.6533 -0.3117
Bi -6.8581 -0.4594 2.3822
Bi -3.3652 1.5577 -0.3047


No. 3
6
Lattice="-2.2509 -4.3767 -1.6633 4.5936 1.4579 -1.9396 4.2542 -4.6800 6.5574" Properties=species:S:1:pos:R:3 comment="KSrHg2Bi2, optimized geometry, DFT PBE" volume_a3_per_fu=213 formation_enthalpy_0k_mev_per_atom=-434 pbc="T T T"
Bi 5.4516 -3.9407 2.9917
Bi 1.1452 -3.6581 -0.0373
Sr 2.1271 -2.3400 3.2787
Hg 2.8914 -5.5790 2.6542
Hg 3.7054 -2.0198 0.3001
K 0.0000 0.0000 0.0000


No. 4
15
Lattice="5.6304 0.0000 0.0000 -2.8152 4.8761 0.0000 0.0000 0.0000 7.1171" Properties=species:S:1:pos:R:3 comment="CaAc3Al2O9, optimized geometry, DFT PBE" energy_ev_per_atom=-7.4464 volume_a3_per_fu=195 pbc="T T T"
Ac 0.0000 3.2507 4.8623
Ac 0.0000 0.0000 0.0000
Ac 2.8152 1.6254 2.2547
O -1.4076 2.4380 0.0000
O 2.8152 3.1499 4.9231
O 0.0000 1.7262 2.1939
O -1.3203 4.0130 2.1939
O 2.8152 0.0000 0.0000
O 4.1355 0.8631 4.9231
O 1.3203 4.0130 2.1939
O 1.4949 0.8631 4.9231
O 1.4076 2.4380 0.0000
Al 2.8152 1.6254 5.9936
Al 0.0000 3.2507 1.1235
Ca 0.0000 0.0000 3.5585


No. 5
4
Lattice="-3.5297 0.3119 3.0074 -3.7082 -2.6825 -0.8083 4.6048 -0.5814 0.2408" Properties=species:S:1:pos:R:3 comment="Be2ZnP, optimized geometry, DFT PBE" de_polymorph_mev_per_atom=121 volume_a3_per_fu=47 formation_enthalpy_0k_mev_per_atom=349 pbc="T T T"
Be 0.0000 0.0000 0.0000
Be -1.3612 -2.2246 0.2660
Zn -1.2719 -0.7274 2.1739
P -3.6189 -1.1853 1.0996


No. 6
12
Lattice="5.6739 0.0000 0.0000 -2.8369 4.9137 0.0000 0.0000 0.0000 9.2089" Properties=species:S:1:pos:R:3 comment="Li8LaMg3, optimized geometry, DFT PBE" volume_a3_per_fu=257 formation_enthalpy_0k_mev_per_atom=10 pbc="T T T"
Mg 2.8369 1.6379 3.9075
Mg 0.0000 0.0000 8.6959
Mg 2.8369 1.6379 0.6065
La 0.0000 0.0000 5.2075
Li 0.0000 3.2758 9.1163
Li 1.4305 4.1017 2.2078
Li 4.2024 2.4262 7.0367
Li -1.4305 4.1017 2.2078
Li 0.0000 1.6240 2.2078
Li 0.0000 3.2758 4.5912
Li 1.4715 2.4262 7.0367
Li 2.8369 0.0612 7.0367


Number 1: total moment 2.88 μB per formula unit. Number 2: total moment 0.00 μB per formula unit. Number 3: total moment 0.00 μB per formula unit. Number 4: total moment 0.88 μB per formula unit. Number 5: total moment 0.00 μB per formula unit. Number 6: total moment 0.00 μB per formula unit.